## Ta2GaCu (PBE)

Data for a geometry-optimized Ta2GaCu structure.

The space group is P4/mmm (No. 123) and the conventional cell measures 4.0053, 4.0053 and 3.9528 Å, with angles of 90.00, 90.00 and 90.00 degrees. The inequivalent atoms are Ta at (0.0000, 0.5000, 0.0000), Ga at (0.0000, 0.0000, 0.5000) and Cu at (0.5000, 0.5000, 0.5000).

For the energy relative to the elements, the calculation gives -0.067 eV/atom. The value obtained for the calculated density is 12.967 g/cm3.

## VSeS3 (PBE)

Data for a geometry-optimized VSeS3 structure.

The space group is Pm-3m (No. 221) and the conventional cell measures 4.5592, 4.5592 and 4.5592 Å, with angles of 90.00, 90.00 and 90.00 degrees. The inequivalent atoms are V at (0.0000, 0.0000, 0.0000), Se at (0.5000, 0.5000, 0.5000) and S at (0.0000, 0.0000, 0.5000).

As for the energy above the most stable polymorph in this dataset: 0 meV/atom. The value obtained for the calculated density is 3.962 g/cm3.

## CePmTh2 (PBE)

Data for a geometry-optimized CePmTh2 structure.

The space group is P4/mmm (No. 123) and the conventional cell measures 3.5449, 3.5449 and 10.0194 Å, with angles of 90.00, 90.00 and 90.00 degrees. The inequivalent atoms are Ce at (0.0000, 0.0000, 0.0000), Pm at (0.0000, 0.0000, 0.5000) and Th at (0.5000, 0.5000, 0.2392).

For the energy relative to the elements, the calculation gives 0.045 eV/atom. As for the energy above the most stable polymorph in this dataset: 0 meV/atom. The value obtained for the calculated density is 9.881 g/cm3.

## MnIn2Au (PBE)

Data for a geometry-optimized MnIn2Au structure.

The space group is Cm (No. 8) and the conventional cell measures 9.4556, 3.4804 and 5.0687 Å, with angles of 90.00, 101.97 and 90.00 degrees. The inequivalent atoms are Mn at (0.0000, 0.0000, 0.0000), In at (0.0152, 0.5000, 0.5317), In at (0.2490, 0.5000, 0.2239) and Au at (0.2652, 0.0000, 0.7716).

For the energy relative to the elements, the calculation gives 0.070 eV/atom. As for the energy above the most stable polymorph in this dataset: 36 meV/atom. The value obtained for the calculated density is 9.800 g/cm3.

## MnSiB (PBE)

Data for a geometry-optimized MnSiB structure.

The space group is Cmmm (No. 65) and the conventional cell measures 4.1899, 9.9942 and 2.7239 Å, with angles of 90.00, 90.00 and 90.00 degrees. The inequivalent atoms are Mn at (0.0000, 0.1389, 0.0000), Si at (0.0000, 0.3340, 0.5000) and B at (0.2167, 0.0000, 0.5000).

As for the energy above the most stable polymorph in this dataset: 143 meV/atom. The value obtained for the calculated density is 5.464 g/cm3.

## BaSr3Ca3 (PBE)

Data for a geometry-optimized BaSr3Ca3 structure.

The space group is R-3 (No. 148, hexagonal axes) and the conventional cell measures 9.1504, 9.1504 and 31.1366 Å, with angles of 90.00, 90.00 and 120.00 degrees. The inequivalent atoms are Ba at (0.0000, 0.0000, 0.1976), Sr at (0.0347, 0.5760, 0.2283) and Ca at (0.0428, 0.7881, 0.6936).

For the energy relative to the elements, the calculation gives 0.158 eV/atom. As for the energy above the most stable polymorph in this dataset: 138 meV/atom. The value obtained for the calculated density is 2.297 g/cm3.

## Li2CaZr (PBE)

Data for a geometry-optimized Li2CaZr structure.

The space group is I-42d (No. 122) and the conventional cell measures 7.8933, 7.8933 and 6.2553 Å, with angles of 90.00, 90.00 and 90.00 degrees. The inequivalent atoms are Li at (0.2419, 0.2500, 0.1250), Ca at (0.0000, 0.0000, 0.5000) and Zr at (0.0000, 0.0000, 0.0000).

For the energy relative to the elements, the calculation gives 0.616 eV/atom. As for the energy above the most stable polymorph in this dataset: 360 meV/atom. The value obtained for the calculated density is 2.474 g/cm3.

## HgPPbF2 (PBE)

Data for a geometry-optimized HgPPbF2 structure.

The space group is P4/mmm (No. 123) and the conventional cell measures 4.2033, 4.2033 and 5.7033 Å, with angles of 90.00, 90.00 and 90.00 degrees. The inequivalent atoms are Hg at (0.0000, 0.0000, 0.0000), P at (0.0000, 0.0000, 0.5000), Pb at (0.5000, 0.5000, 0.0000) and F at (0.0000, 0.5000, 0.5000).

The energy comes out at -16.34 eV/f.u. The value obtained for the calculated density is 7.857 g/cm3.

How do the records compare in Fermi-level density of states? In the order shown, they have 1.7; 4.9; 6.9; 1.6; 0.9; 10.3; 4.8; 2.0 states/eV/f.u..